DFT (PBE) results for crystalline Pm4Hg5Ge2 at its relaxed geometry.

Output
energy of formation: -0.5082 eV per atom
total energy: -0.236 Ry per atom
calculated volume: 288.41 Å³/f.u.
symmetry: P2/m

Lattice parameters (Å, degrees): 7.8672 3.9660 9.2839 90.00 95.36 90.00
Fractional positions:
Pm: 0.1934 0.0000 0.3579
Pm: 0.2373 0.0000 0.9243
Pm: 0.7627 0.0000 0.0757
Pm: 0.8066 0.0000 0.6421
Hg: 0.1509 0.5000 0.6328
Hg: 0.4580 0.5000 0.1726
Hg: 0.5000 0.5000 0.5000
Hg: 0.5420 0.5000 0.8274
Hg: 0.8491 0.5000 0.3672
Ge: 0.0692 0.5000 0.1266
Ge: 0.9308 0.5000 0.8734